Entry 1:
! PBE HfBe3Zn, relaxed; values from VASP
! Symmetry: Pm-3m (221)
! Formation enthalpy at 0 K in kJ per mole of atoms: 42.8
! Energy above the most stable polymorph in this dataset in eV/atom: 0.000
&SYSTEM
  ibrav = 0, nat = 5, ntyp = 3
/
ATOMIC_SPECIES
Be 9.01 Be.upf
Zn 65.41 Zn.upf
Hf 178.49 Hf.upf
CELL_PARAMETERS angstrom
-3.891 -1.057 0.287
1.094 -3.803 0.826
0.054 0.873 3.947
ATOMIC_POSITIONS crystal
Be 0.000 0.500 0.000
Be 0.000 0.000 0.500
Be 0.500 0.000 0.000
Zn 0.000 0.000 0.000
Hf 0.500 0.500 0.500



Entry 2:
! PBE Pu3Si4Os2, relaxed; values from VASP
! Symmetry: C2/m (12)
! Raw formation energy in kJ/mol of formula units: -352
&SYSTEM
  ibrav = 0, nat = 9, ntyp = 3
/
ATOMIC_SPECIES
Pu 244.00 Pu.upf
Si 28.09 Si.upf
Os 190.23 Os.upf
CELL_PARAMETERS angstrom
4.113 0.000 0.000
-2.057 5.270 -0.600
0.000 -2.805 8.040
ATOMIC_POSITIONS crystal
Pu 0.616 0.232 0.675
Pu 0.000 0.000 0.000
Pu 0.384 0.768 0.325
Si 0.723 0.446 0.054
Si 0.277 0.554 0.946
Si 0.868 0.736 0.574
Si 0.132 0.264 0.426
Os 0.652 0.303 0.287
Os 0.348 0.697 0.713



Entry 3:
! PBE Ac3MgSb4, relaxed; values from VASP
! Symmetry: Pm-3m (221)
! Raw formation energy in kJ/mol of formula units: -639
&SYSTEM
  ibrav = 0, nat = 8, ntyp = 3
/
ATOMIC_SPECIES
Sb 121.76 Sb.upf
Ac 227.00 Ac.upf
Mg 24.30 Mg.upf
CELL_PARAMETERS angstrom
6.694 0.000 0.000
0.000 6.694 0.000
0.000 0.000 6.694
ATOMIC_POSITIONS crystal
Sb 0.500 0.000 0.000
Sb 0.000 0.500 0.000
Sb 0.000 0.000 0.500
Sb 0.500 0.500 0.500
Ac 0.000 0.500 0.500
Ac 0.500 0.000 0.500
Ac 0.500 0.500 0.000
Mg 0.000 0.000 0.000



Entry 4:
! PBE CaRe2HgO8, relaxed; values from VASP
! Symmetry: C2/m (12)
! Raw formation energy in kJ/mol of formula units: -2113
&SYSTEM
  ibrav = 0, nat = 12, ntyp = 4
/
ATOMIC_SPECIES
Ca 40.08 Ca.upf
Re 186.21 Re.upf
Hg 200.59 Hg.upf
O 16.00 O.upf
CELL_PARAMETERS angstrom
6.370 0.000 0.000
3.185 5.512 -0.011
3.185 1.868 7.610
ATOMIC_POSITIONS crystal
Ca 0.000 0.000 0.000
Re 0.255 0.253 0.238
Re 0.745 0.747 0.762
Hg 0.500 0.500 0.500
O 0.821 0.823 0.535
O 0.871 0.420 0.839
O 0.179 0.177 0.465
O 0.129 0.580 0.161
O 0.581 0.128 0.161
O 0.419 0.872 0.839
O 0.130 0.128 0.161
O 0.870 0.872 0.839



Entry 5:
! PBE LiPrGd2, relaxed; values from VASP
! Symmetry: Fm-3m (225)
! Formation enthalpy at 0 K in kJ per mole of atoms: 17.4
! Energy above the most stable polymorph in this dataset in eV/atom: 0.119
&SYSTEM
  ibrav = 0, nat = 4, ntyp = 3
/
ATOMIC_SPECIES
Pr 140.91 Pr.upf
Gd 157.25 Gd.upf
Li 6.94 Li.upf
CELL_PARAMETERS angstrom
-3.964 -3.170 -2.186
-2.284 -4.035 3.007
-5.214 0.484 1.768
ATOMIC_POSITIONS crystal
Pr 0.000 0.000 0.000
Gd 0.250 0.250 0.250
Gd 0.750 0.750 0.750
Li 0.500 0.500 0.500



Entry 6:
! PBE LiLa2PPd6, relaxed; values from VASP
! Symmetry: Pmmn (59)
! Formation enthalpy at 0 K in kJ per mole of atoms: -67.5
&SYSTEM
  ibrav = 0, nat = 20, ntyp = 4
/
ATOMIC_SPECIES
Li 6.94 Li.upf
La 138.91 La.upf
P 30.97 P.upf
Pd 106.42 Pd.upf
CELL_PARAMETERS angstrom
5.649 0.000 0.000
0.000 8.006 0.000
0.000 0.000 8.768
ATOMIC_POSITIONS crystal
Li 0.000 0.720 0.500
Li 0.500 0.280 0.000
La 0.500 0.731 0.262
La 0.000 0.269 0.762
La 0.500 0.731 0.738
La 0.000 0.269 0.238
P 0.500 0.230 0.500
P 0.000 0.770 0.000
Pd 0.500 0.119 0.249
Pd 0.500 0.119 0.751
Pd 0.000 0.881 0.251
Pd 0.000 0.881 0.749
Pd 0.242 0.995 0.500
Pd 0.758 0.995 0.500
Pd 0.246 0.459 0.500
Pd 0.754 0.459 0.500
Pd 0.746 0.541 0.000
Pd 0.254 0.541 0.000
Pd 0.258 0.005 0.000
Pd 0.742 0.005 0.000



Entry 7:
! PBE BaY2Pt, relaxed; values from VASP
! Symmetry: I4/mmm (139)
! Formation enthalpy at 0 K in kJ per mole of atoms: -1.2
! Energy above the most stable polymorph in this dataset in eV/atom: 0.525
&SYSTEM
  ibrav = 0, nat = 4, ntyp = 3
/
ATOMIC_SPECIES
Ba 137.33 Ba.upf
Pt 195.08 Pt.upf
Y 88.91 Y.upf
CELL_PARAMETERS angstrom
6.437 -0.021 0.000
3.206 5.581 0.000
-4.821 -2.780 3.234
ATOMIC_POSITIONS crystal
Ba 0.250 0.750 0.500
Pt 0.750 0.250 0.500
Y 0.000 0.000 0.000
Y 0.500 0.500 0.000



Entry 8:
! PBE Rb3SiI, relaxed; values from VASP
! Symmetry: Pm-3m (221)
! Raw formation energy in kJ/mol of formula units: -78
! Energy above the most stable polymorph in this dataset in eV/atom: 0.000
&SYSTEM
  ibrav = 0, nat = 5, ntyp = 3
/
ATOMIC_SPECIES
I 126.90 I.upf
Si 28.09 Si.upf
Rb 85.47 Rb.upf
CELL_PARAMETERS angstrom
-3.606 -4.513 3.454
0.252 -4.214 -5.243
5.678 -2.679 2.427
ATOMIC_POSITIONS crystal
I 0.500 0.500 0.500
Si 0.000 0.000 0.000
Rb 0.000 0.500 0.000
Rb 0.000 0.000 0.500
Rb 0.500 0.000 0.000